Arrangement one

Computed, not measured: a relaxed ZnAgSO crystal at the PBE level of DFT.

```
data_ZnAgSO
_cell_length_a 3.266
_cell_length_b 3.266
_cell_length_c 11.159
_cell_angle_alpha 90.00
_cell_angle_beta 90.00
_cell_angle_gamma 90.00
_symmetry_space_group_name_H-M 'P 4/n m m'
_symmetry_Int_Tables_number 129
loop_
_symmetry_equiv_pos_as_xyz
'x,y,z'
'-x,-y,-z'
'-y+1/2,x,z'
'y+1/2,-x,-z'
'-x+1/2,-y+1/2,z'
'x+1/2,y+1/2,-z'
'y,-x+1/2,z'
'-y,x+1/2,-z'
'x+1/2,-y,-z'
'-x+1/2,y,z'
'-y,-x,-z'
'y,x,z'
'-x,y+1/2,-z'
'x,-y+1/2,z'
'y+1/2,x+1/2,-z'
'-y+1/2,-x+1/2,z'
loop_
_atom_site_label
_atom_site_type_symbol
_atom_site_fract_x
_atom_site_fract_y
_atom_site_fract_z
_atom_site_occupancy
Zn1 Zn 0.250 0.250 0.096 1
Ag1 Ag 0.250 0.250 0.713 1
S1 S 0.250 0.750 0.500 1
O1 O 0.250 0.250 0.916 1
```

=====

Arrangement two

Computed, not measured: a relaxed ZnAgSO crystal at the PBE level of DFT.

```
data_ZnAgSO
_cell_length_a 3.757
_cell_length_b 3.757
_cell_length_c 9.470
_cell_angle_alpha 90.00
_cell_angle_beta 90.00
_cell_angle_gamma 90.00
_symmetry_space_group_name_H-M 'P 4/n m m'
_symmetry_Int_Tables_number 129
loop_
_symmetry_equiv_pos_as_xyz
'x,y,z'
'-x,-y,-z'
'-y+1/2,x,z'
'y+1/2,-x,-z'
'-x+1/2,-y+1/2,z'
'x+1/2,y+1/2,-z'
'y,-x+1/2,z'
'-y,x+1/2,-z'
'x+1/2,-y,-z'
'-x+1/2,y,z'
'-y,-x,-z'
'y,x,z'
'-x,y+1/2,-z'
'x,-y+1/2,z'
'y+1/2,x+1/2,-z'
'-y+1/2,-x+1/2,z'
loop_
_atom_site_label
_atom_site_type_symbol
_atom_site_fract_x
_atom_site_fract_y
_atom_site_fract_z
_atom_site_occupancy
Zn1 Zn 0.250 0.250 0.177 1
Ag1 Ag 0.250 0.250 0.617 1
S1 S 0.250 0.750 0.000 1
O1 O 0.250 0.250 0.369 1
```

=====

Arrangement three

Computed, not measured: a relaxed ZnAgSO crystal at the PBE level of DFT.

```
data_ZnAgSO
_cell_length_a 6.910
_cell_length_b 7.047
_cell_length_c 10.248
_cell_angle_alpha 90.00
_cell_angle_beta 90.00
_cell_angle_gamma 90.00
_symmetry_space_group_name_H-M 'P b c a'
_symmetry_Int_Tables_number 61
_symmetry_space_group_name_Hall '-P 2ac 2ab'
loop_
_atom_site_label
_atom_site_type_symbol
_atom_site_fract_x
_atom_site_fract_y
_atom_site_fract_z
_atom_site_occupancy
Zn1 Zn 0.011 0.241 0.050 1
Ag1 Ag 0.245 0.503 0.742 1
S1 S 0.249 0.538 0.489 1
O1 O 0.071 0.249 0.738 1
```

=====

Arrangement four

Computed, not measured: a relaxed ZnAgSO crystal at the PBE level of DFT.

```
data_ZnAgSO
_cell_length_a 6.003
_cell_length_b 3.115
_cell_length_c 13.703
_cell_angle_alpha 90.00
_cell_angle_beta 90.00
_cell_angle_gamma 90.00
_symmetry_space_group_name_H-M 'P n m a'
_symmetry_Int_Tables_number 62
_symmetry_space_group_name_Hall '-P 2ac 2n'
loop_
_atom_site_label
_atom_site_type_symbol
_atom_site_fract_x
_atom_site_fract_y
_atom_site_fract_z
_atom_site_occupancy
Zn1 Zn 0.202 0.250 0.069 1
Ag1 Ag 0.127 0.750 0.289 1
S1 S 0.207 0.750 0.925 1
O1 O 0.211 0.250 0.647 1
```

=====

It turns out arrangement four is the most stable, with the second structure 19 meV/atom higher.

=====

Arrangement one

Computed, not measured: a relaxed ZnAgSO crystal at the PBE level of DFT.

```
data_ZnAgSO
_cell_length_a 6.311
_cell_length_b 7.508
_cell_length_c 5.281
_cell_angle_alpha 90.00
_cell_angle_beta 90.00
_cell_angle_gamma 90.00
_symmetry_space_group_name_H-M 'P c a 21'
_symmetry_Int_Tables_number 29
_symmetry_space_group_name_Hall 'P 2c -2ac'
loop_
_atom_site_label
_atom_site_type_symbol
_atom_site_fract_x
_atom_site_fract_y
_atom_site_fract_z
_atom_site_occupancy
Zn1 Zn 0.123 0.072 0.000 1
Ag1 Ag 0.146 0.687 0.062 1
S1 S 0.240 0.366 0.485 1
O1 O 0.147 0.936 0.679 1
```

=====

Arrangement two

Computed, not measured: a relaxed ZnAgSO crystal at the PBE level of DFT.

```
data_ZnAgSO
_cell_length_a 3.372
_cell_length_b 12.258
_cell_length_c 5.881
_cell_angle_alpha 90.00
_cell_angle_beta 90.00
_cell_angle_gamma 90.00
_symmetry_space_group_name_H-M 'C m c m'
_symmetry_Int_Tables_number 63
_symmetry_space_group_name_Hall '-C 2c 2'
loop_
_atom_site_label
_atom_site_type_symbol
_atom_site_fract_x
_atom_site_fract_y
_atom_site_fract_z
_atom_site_occupancy
Zn1 Zn 0.000 0.105 0.250 1
Ag1 Ag 0.000 0.400 0.250 1
S1 S 0.000 0.260 0.750 1
O1 O 0.000 0.000 0.000 1
```

=====

Arrangement three

Computed, not measured: a relaxed ZnAgSO crystal at the PBE level of DFT.

```
data_ZnAgSO
_cell_length_a 5.586
_cell_length_b 6.525
_cell_length_c 7.445
_cell_angle_alpha 90.00
_cell_angle_beta 90.00
_cell_angle_gamma 90.00
_symmetry_space_group_name_H-M 'P 21 21 21'
_symmetry_Int_Tables_number 19
_symmetry_space_group_name_Hall 'P 2ac 2ab'
loop_
_atom_site_label
_atom_site_type_symbol
_atom_site_fract_x
_atom_site_fract_y
_atom_site_fract_z
_atom_site_occupancy
Zn1 Zn 0.201 0.145 0.075 1
Ag1 Ag 0.212 0.431 0.654 1
S1 S 0.010 0.352 0.358 1
O1 O 0.001 0.728 0.627 1
```

=====

It turns out arrangement one is the most stable, with the second structure 44 meV/atom higher.

=====

Arrangement one

Computed, not measured: a relaxed ZnAgSO crystal at the PBE level of DFT.

```
data_ZnAgSO
_cell_length_a 3.2629
_cell_length_b 3.2629
_cell_length_c 13.0885
_cell_angle_alpha 90.00
_cell_angle_beta 90.00
_cell_angle_gamma 120.00
_symmetry_space_group_name_H-M 'P 63 m c'
_symmetry_Int_Tables_number 186
_symmetry_space_group_name_Hall 'P 6c -2c'
loop_
_atom_site_label
_atom_site_type_symbol
_atom_site_fract_x
_atom_site_fract_y
_atom_site_fract_z
_atom_site_occupancy
Zn1 Zn 0.3333 0.6667 0.0000 1
Ag1 Ag 0.0000 0.0000 0.2184 1
S1 S 0.3333 0.6667 0.3499 1
O1 O 0.0000 0.0000 0.0514 1
```

=====

Arrangement two

Computed, not measured: a relaxed ZnAgSO crystal at the PBE level of DFT.

```
data_ZnAgSO
_cell_length_a 6.095
_cell_length_b 12.833
_cell_length_c 6.755
_cell_angle_alpha 90.00
_cell_angle_beta 90.00
_cell_angle_gamma 90.00
_symmetry_space_group_name_H-M 'P b c a'
_symmetry_Int_Tables_number 61
_symmetry_space_group_name_Hall '-P 2ac 2ab'
loop_
_atom_site_label
_atom_site_type_symbol
_atom_site_fract_x
_atom_site_fract_y
_atom_site_fract_z
_atom_site_occupancy
Zn1 Zn 0.043 0.229 0.142 1
Ag1 Ag 0.220 0.068 0.533 1
S1 S 0.005 0.029 0.226 1
O1 O 0.217 0.249 0.892 1
```

=====

It turns out arrangement two is the most stable, with the second structure 19 meV/atom higher.

=====

Arrangement one

Computed, not measured: a relaxed ZnAgSO crystal at the PBE level of DFT.

```
data_ZnAgSO
_cell_length_a 3.707
_cell_length_b 3.707
_cell_length_c 10.177
_cell_angle_alpha 90.00
_cell_angle_beta 90.00
_cell_angle_gamma 90.00
_symmetry_space_group_name_H-M 'P 4/n m m'
_symmetry_Int_Tables_number 129
loop_
_symmetry_equiv_pos_as_xyz
'x,y,z'
'-x,-y,-z'
'-y+1/2,x,z'
'y+1/2,-x,-z'
'-x+1/2,-y+1/2,z'
'x+1/2,y+1/2,-z'
'y,-x+1/2,z'
'-y,x+1/2,-z'
'x+1/2,-y,-z'
'-x+1/2,y,z'
'-y,-x,-z'
'y,x,z'
'-x,y+1/2,-z'
'x,-y+1/2,z'
'y+1/2,x+1/2,-z'
'-y+1/2,-x+1/2,z'
loop_
_atom_site_label
_atom_site_type_symbol
_atom_site_fract_x
_atom_site_fract_y
_atom_site_fract_z
_atom_site_occupancy
Zn1 Zn 0.250 0.750 0.000 1
Ag1 Ag 0.250 0.250 0.429 1
S1 S 0.250 0.250 0.840 1
O1 O 0.250 0.250 0.681 1
```

=====

Arrangement two

Computed, not measured: a relaxed ZnAgSO crystal at the PBE level of DFT.

```
data_ZnAgSO
_cell_length_a 5.721
_cell_length_b 6.245
_cell_length_c 7.835
_cell_angle_alpha 90.00
_cell_angle_beta 90.00
_cell_angle_gamma 90.00
_symmetry_space_group_name_H-M 'P 21 21 21'
_symmetry_Int_Tables_number 19
_symmetry_space_group_name_Hall 'P 2ac 2ab'
loop_
_atom_site_label
_atom_site_type_symbol
_atom_site_fract_x
_atom_site_fract_y
_atom_site_fract_z
_atom_site_occupancy
Zn1 Zn 0.032 0.206 0.125 1
Ag1 Ag 0.003 0.430 0.738 1
S1 S 0.179 0.830 0.149 1
O1 O 0.146 0.690 0.588 1
```

=====

Arrangement three

Computed, not measured: a relaxed ZnAgSO crystal at the PBE level of DFT.

```
data_ZnAgSO
_cell_length_a 3.6267
_cell_length_b 3.6267
_cell_length_c 11.3113
_cell_angle_alpha 90.00
_cell_angle_beta 90.00
_cell_angle_gamma 120.00
_symmetry_space_group_name_H-M 'P 63 m c'
_symmetry_Int_Tables_number 186
_symmetry_space_group_name_Hall 'P 6c -2c'
loop_
_atom_site_label
_atom_site_type_symbol
_atom_site_fract_x
_atom_site_fract_y
_atom_site_fract_z
_atom_site_occupancy
Zn1 Zn 0.0000 0.0000 0.0000 1
Ag1 Ag 0.3333 0.6667 0.2547 1
S1 S 0.3333 0.6667 0.5993 1
O1 O 0.0000 0.0000 0.3337 1
```

=====

It turns out arrangement two is the most stable, with the second structure 106 meV/atom higher.

=====

Arrangement one

Computed, not measured: a relaxed ZnAgSO crystal at the PBE level of DFT.

```
data_ZnAgSO
_cell_length_a 5.233
_cell_length_b 3.731
_cell_length_c 13.123
_cell_angle_alpha 90.00
_cell_angle_beta 90.00
_cell_angle_gamma 90.00
_symmetry_space_group_name_H-M 'P n m a'
_symmetry_Int_Tables_number 62
_symmetry_space_group_name_Hall '-P 2ac 2n'
loop_
_atom_site_label
_atom_site_type_symbol
_atom_site_fract_x
_atom_site_fract_y
_atom_site_fract_z
_atom_site_occupancy
Zn1 Zn 0.177 0.250 0.185 1
Ag1 Ag 0.243 0.250 0.922 1
S1 S 0.232 0.250 0.578 1
O1 O 0.200 0.750 0.823 1
```

=====

Arrangement two

Computed, not measured: a relaxed ZnAgSO crystal at the PBE level of DFT.

```
data_ZnAgSO
_cell_length_a 3.869
_cell_length_b 3.869
_cell_length_c 9.650
_cell_angle_alpha 90.00
_cell_angle_beta 90.00
_cell_angle_gamma 90.00
_symmetry_space_group_name_H-M 'P 4/n m m'
_symmetry_Int_Tables_number 129
loop_
_symmetry_equiv_pos_as_xyz
'x,y,z'
'-x,-y,-z'
'-y+1/2,x,z'
'y+1/2,-x,-z'
'-x+1/2,-y+1/2,z'
'x+1/2,y+1/2,-z'
'y,-x+1/2,z'
'-y,x+1/2,-z'
'x+1/2,-y,-z'
'-x+1/2,y,z'
'-y,-x,-z'
'y,x,z'
'-x,y+1/2,-z'
'x,-y+1/2,z'
'y+1/2,x+1/2,-z'
'-y+1/2,-x+1/2,z'
loop_
_atom_site_label
_atom_site_type_symbol
_atom_site_fract_x
_atom_site_fract_y
_atom_site_fract_z
_atom_site_occupancy
Zn1 Zn 0.250 0.250 0.108 1
Ag1 Ag 0.250 0.250 0.591 1
S1 S 0.250 0.250 0.863 1
O1 O 0.250 0.750 0.500 1
```

=====

It turns out arrangement one is the most stable, with the second structure 442 meV/atom higher.

=====

Arrangement one

Computed, not measured: a relaxed AgSnSeO crystal at the PBE level of DFT.

```
data_AgSnSeO
_cell_length_a 5.702
_cell_length_b 8.788
_cell_length_c 8.840
_cell_angle_alpha 90.00
_cell_angle_beta 90.00
_cell_angle_gamma 90.00
_symmetry_space_group_name_H-M 'P 21 21 21'
_symmetry_Int_Tables_number 19
_symmetry_space_group_name_Hall 'P 2ac 2ab'
loop_
_atom_site_label
_atom_site_type_symbol
_atom_site_fract_x
_atom_site_fract_y
_atom_site_fract_z
_atom_site_occupancy
Ag1 Ag 0.243 0.228 0.024 1
Sn1 Sn 0.168 0.694 0.113 1
Se1 Se 0.017 0.900 0.321 1
O1 O 0.011 0.767 0.923 1
```

=====

Arrangement two

Computed, not measured: a relaxed AgSnSeO crystal at the PBE level of DFT.

```
data_AgSnSeO
_cell_length_a 5.895
_cell_length_b 9.346
_cell_length_c 5.863
_cell_angle_alpha 90.00
_cell_angle_beta 90.00
_cell_angle_gamma 90.00
_symmetry_space_group_name_H-M 'P c a 21'
_symmetry_Int_Tables_number 29
_symmetry_space_group_name_Hall 'P 2c -2ac'
loop_
_atom_site_label
_atom_site_type_symbol
_atom_site_fract_x
_atom_site_fract_y
_atom_site_fract_z
_atom_site_occupancy
Ag1 Ag 0.243 0.057 0.000 1
Sn1 Sn 0.031 0.671 0.235 1
Se1 Se 0.012 0.338 0.237 1
O1 O 0.028 0.890 0.243 1
```

=====

Arrangement three

Computed, not measured: a relaxed AgSnSeO crystal at the PBE level of DFT.

```
data_AgSnSeO
_cell_length_a 4.014
_cell_length_b 4.014
_cell_length_c 9.992
_cell_angle_alpha 90.00
_cell_angle_beta 90.00
_cell_angle_gamma 90.00
_symmetry_space_group_name_H-M 'P 4/n m m'
_symmetry_Int_Tables_number 129
loop_
_symmetry_equiv_pos_as_xyz
'x,y,z'
'-x,-y,-z'
'-y+1/2,x,z'
'y+1/2,-x,-z'
'-x+1/2,-y+1/2,z'
'x+1/2,y+1/2,-z'
'y,-x+1/2,z'
'-y,x+1/2,-z'
'x+1/2,-y,-z'
'-x+1/2,y,z'
'-y,-x,-z'
'y,x,z'
'-x,y+1/2,-z'
'x,-y+1/2,z'
'y+1/2,x+1/2,-z'
'-y+1/2,-x+1/2,z'
loop_
_atom_site_label
_atom_site_type_symbol
_atom_site_fract_x
_atom_site_fract_y
_atom_site_fract_z
_atom_site_occupancy
Ag1 Ag 0.250 0.250 0.195 1
Sn1 Sn 0.250 0.250 0.625 1
Se1 Se 0.250 0.750 0.000 1
O1 O 0.250 0.250 0.419 1
```

=====

Arrangement four

Computed, not measured: a relaxed AgSnSeO crystal at the PBE level of DFT.

```
data_AgSnSeO
_cell_length_a 3.7422
_cell_length_b 3.7422
_cell_length_c 13.1050
_cell_angle_alpha 90.00
_cell_angle_beta 90.00
_cell_angle_gamma 120.00
_symmetry_space_group_name_H-M 'P 63 m c'
_symmetry_Int_Tables_number 186
_symmetry_space_group_name_Hall 'P 6c -2c'
loop_
_atom_site_label
_atom_site_type_symbol
_atom_site_fract_x
_atom_site_fract_y
_atom_site_fract_z
_atom_site_occupancy
Ag1 Ag 0.0000 0.0000 0.0000 1
Sn1 Sn 0.3333 0.6667 0.2650 1
Se1 Se 0.3333 0.6667 0.6246 1
O1 O 0.0000 0.0000 0.3286 1
```

=====

It turns out arrangement one is the most stable, with the second structure 96 meV/atom higher.